The following is a PBE+U calculation of BaMnF2 after structural relaxation, from the Alexandria database.

Cell and atoms, written as extended XYZ:
```
8
Lattice="-2.328 -2.468 -4.745 5.012 -2.813 -0.995 -0.917 -8.054 1.055" Properties=species:S:1:pos:R:3 pbc="T T T"
F -1.218 -4.079 -3.154
F 2.007 -10.857 -4.300
F 2.773 -3.910 -0.624
F -0.027 -7.827 -1.293
Ba 0.000 0.000 0.000
Ba -0.951 -6.582 -3.280
Mn 2.719 -6.754 -1.405
Mn 1.342 -2.641 -2.870
```

Results
* E_tot: -42.3 eV per cell
* V: 240.15 Å³/cell
* SG: I-42d
* crystal system: tetragonal